1.
# Pm7Y2Er4 | the Alexandria database | GGA-PBE | relaxed
data_Pm7Y2Er4
_symmetry_space_group_name_H-M 'P -3 1 m'
_symmetry_Int_Tables_number 162
_symmetry_space_group_name_Hall '-P 3 2'
_cell_length_a 6.1663
_cell_length_b 6.1663
_cell_length_c 13.1491
_cell_angle_alpha 90.00
_cell_angle_beta 90.00
_cell_angle_gamma 120.00
loop_
_atom_site_label
_atom_site_type_symbol
_atom_site_fract_x
_atom_site_fract_y
_atom_site_fract_z
_atom_site_occupancy
Pm1 Pm 0.0000 0.0000 0.0000 1
Pm2 Pm 0.0000 0.3719 0.2236 1
Y1 Y 0.3333 0.6667 0.0000 1
Er1 Er 0.0000 0.0000 0.3923 1
Er2 Er 0.3333 0.6667 0.5000 1
# spin magnetization	0.0	Bohr magnetons per cell
# raw total energy	-62.20	eV/cell
# DOS(E_F)	1.2516	states/eV/atom
# E_form	171.7	meV per atom

2.
# Pm4Y6Er19 | the Alexandria database | GGA-PBE | relaxed
data_Pm4Y6Er19
_symmetry_space_group_name_H-M 'I 2 3'
_symmetry_Int_Tables_number 197
_symmetry_space_group_name_Hall 'I 2 2 3'
_cell_length_a 12.425
_cell_length_b 12.425
_cell_length_c 12.425
_cell_angle_alpha 90.00
_cell_angle_beta 90.00
_cell_angle_gamma 90.00
loop_
_atom_site_label
_atom_site_type_symbol
_atom_site_fract_x
_atom_site_fract_y
_atom_site_fract_z
_atom_site_occupancy
Pm1 Pm 0.180 0.180 0.820 1
Y1 Y 0.000 0.370 0.500 1
Er1 Er 0.000 0.000 0.000 1
Er2 Er 0.000 0.000 0.261 1
Er3 Er 0.063 0.260 0.276 1
# spin magnetization	4.7	Bohr magnetons per cell
# raw total energy	-266.18	eV/cell
# DOS(E_F)	1.4708	states/eV/atom
# E_form	392.9	meV per atom

3.
# Pm5Y3Er4 | the Alexandria database | GGA-PBE | relaxed
data_Pm5Y3Er4
_symmetry_space_group_name_H-M 'C 1 2/m 1'
_symmetry_Int_Tables_number 12
_symmetry_space_group_name_Hall '-C 2y'
_cell_length_a 9.754
_cell_length_b 5.802
_cell_length_c 14.947
_cell_angle_alpha 90.00
_cell_angle_beta 108.70
_cell_angle_gamma 90.00
loop_
_atom_site_label
_atom_site_type_symbol
_atom_site_fract_x
_atom_site_fract_y
_atom_site_fract_z
_atom_site_occupancy
Pm1 Pm 0.000 0.000 0.000 1
Pm2 Pm 0.048 0.500 0.248 1
Pm3 Pm 0.167 0.500 0.498 1
Y1 Y 0.000 0.500 0.000 1
Y2 Y 0.207 0.000 0.250 1
Er1 Er 0.060 0.000 0.623 1
Er2 Er 0.175 0.000 0.855 1
# spin magnetization	0.0	Bohr magnetons per cell
# raw total energy	-117.19	eV/cell
# DOS(E_F)	1.6330	states/eV/atom
# E_form	233.4	meV per atom

4.
# PmYEr2 | the Alexandria database | GGA-PBE | relaxed
data_PmYEr2
_symmetry_space_group_name_H-M 'P 4/m m m'
_symmetry_Int_Tables_number 123
_symmetry_space_group_name_Hall '-P 4 2'
_cell_length_a 5.039
_cell_length_b 5.039
_cell_length_c 5.024
_cell_angle_alpha 90.00
_cell_angle_beta 90.00
_cell_angle_gamma 90.00
loop_
_atom_site_label
_atom_site_type_symbol
_atom_site_fract_x
_atom_site_fract_y
_atom_site_fract_z
_atom_site_occupancy
Pm1 Pm 0.000 0.000 0.000 1
Y1 Y 0.500 0.500 0.000 1
Er1 Er 0.000 0.500 0.500 1
# ΔE to the lowest computed polymorph	11	meV/atom
# spin magnetization	0.0	Bohr magnetons per cell
# raw total energy	-20.24	eV/cell
# DOS(E_F)	1.4552	states/eV/atom
# E_form	24.5	meV per atom

5.
# Pm3Y2Er3 | the Alexandria database | GGA-PBE | relaxed
data_Pm3Y2Er3
_symmetry_space_group_name_H-M 'I m m m'
_symmetry_Int_Tables_number 71
_symmetry_space_group_name_Hall '-I 2 2'
_cell_length_a 5.045
_cell_length_b 5.066
_cell_length_c 20.270
_cell_angle_alpha 90.00
_cell_angle_beta 90.00
_cell_angle_gamma 90.00
loop_
_atom_site_label
_atom_site_type_symbol
_atom_site_fract_x
_atom_site_fract_y
_atom_site_fract_z
_atom_site_occupancy
Pm1 Pm 0.000 0.000 0.000 1
Pm2 Pm 0.000 0.500 0.124 1
Y1 Y 0.000 0.000 0.249 1
Er1 Er 0.000 0.000 0.500 1
Er2 Er 0.000 0.500 0.375 1
# ΔE to the lowest computed polymorph	5	meV/atom
# spin magnetization	0.0	Bohr magnetons per cell
# raw total energy	-81.39	eV/cell
# DOS(E_F)	1.5127	states/eV/atom
# E_form	21.5	meV per atom

6.
# PmYEr4 | the Alexandria database | GGA-PBE | relaxed
data_PmYEr4
_symmetry_space_group_name_H-M 'C 1 2/c 1'
_symmetry_Int_Tables_number 15
_symmetry_space_group_name_Hall '-C 2yc'
_cell_length_a 10.676
_cell_length_b 6.168
_cell_length_c 11.994
_cell_angle_alpha 90.00
_cell_angle_beta 107.20
_cell_angle_gamma 90.00
loop_
_atom_site_label
_atom_site_type_symbol
_atom_site_fract_x
_atom_site_fract_y
_atom_site_fract_z
_atom_site_occupancy
Pm1 Pm 0.000 0.081 0.250 1
Y1 Y 0.250 0.250 0.500 1
Er1 Er 0.084 0.251 0.000 1
Er2 Er 0.166 0.417 0.750 1
# ΔE to the lowest computed polymorph	0	meV/atom
# spin magnetization	0.0	Bohr magnetons per cell
# raw total energy	-117.63	eV/cell
# DOS(E_F)	1.3633	states/eV/atom
# E_form	9.9	meV per atom

7.
# PmY2Er | the Alexandria database | GGA-PBE | relaxed
data_PmY2Er
_symmetry_space_group_name_H-M 'F m -3 m'
_symmetry_Int_Tables_number 225
_symmetry_space_group_name_Hall '-F 4 2 3'
_cell_length_a 8.065
_cell_length_b 8.065
_cell_length_c 8.065
_cell_angle_alpha 90.00
_cell_angle_beta 90.00
_cell_angle_gamma 90.00
loop_
_atom_site_label
_atom_site_type_symbol
_atom_site_fract_x
_atom_site_fract_y
_atom_site_fract_z
_atom_site_occupancy
Pm1 Pm 0.000 0.000 0.000 1
Y1 Y 0.250 0.250 0.250 1
Er1 Er 0.000 0.000 0.500 1
# ΔE to the lowest computed polymorph	118	meV/atom
# spin magnetization	0.0	Bohr magnetons per cell
# raw total energy	-86.90	eV/cell
# DOS(E_F)	2.2419	states/eV/atom
# E_form	129.4	meV per atom

8.
# PmY2Er | the Alexandria database | GGA-PBE | relaxed
data_PmY2Er
_symmetry_space_group_name_H-M 'C 1 m 1'
_symmetry_Int_Tables_number 8
_symmetry_space_group_name_Hall 'C -2y'
_cell_length_a 6.232
_cell_length_b 3.601
_cell_length_c 11.738
_cell_angle_alpha 90.00
_cell_angle_beta 100.12
_cell_angle_gamma 90.00
loop_
_atom_site_label
_atom_site_type_symbol
_atom_site_fract_x
_atom_site_fract_y
_atom_site_fract_z
_atom_site_occupancy
Pm1 Pm 0.000 0.000 0.000 1
Y1 Y 0.249 0.000 0.747 1
Y2 Y 0.332 0.500 0.498 1
Er1 Er 0.416 0.000 0.252 1
# ΔE to the lowest computed polymorph	7	meV/atom
# spin magnetization	0.0	Bohr magnetons per cell
# raw total energy	-44.34	eV/cell
# DOS(E_F)	1.4836	states/eV/atom
# E_form	18.2	meV per atom